Record 1
# BaMg2InRu

An optimized crystal structure of BaMg2InRu (PBE, Alexandria via LeMat-Bulk).

```
data_BaMg2InRu
_chemical_formula_sum 'Ba1 Mg2 In1 Ru1'
_space_group_name_H-M_alt 'P 1'
_space_group_IT_number 1
_cell_length_a 5.1402
_cell_length_b 5.1402
_cell_length_c 5.2494
_cell_angle_alpha 90.00
_cell_angle_beta 90.00
_cell_angle_gamma 90.00
loop_
_space_group_symop_operation_xyz
'x,y,z'
loop_
_atom_site_label
_atom_site_type_symbol
_atom_site_fract_x
_atom_site_fract_y
_atom_site_fract_z
In1 In 0.0000 0.0000 0.5000
Ru1 Ru 0.0000 0.0000 0.0000
Mg1 Mg 0.5000 0.0000 0.0000
Mg2 Mg 0.0000 0.5000 0.0000
Ba1 Ba 0.5000 0.5000 0.5000
```

Summary:
- Energy of formation: -0.15 eV per atom
- Electronic total energy: -17.87 eV per cell
- V: 27.74 Å³/atom
- Symmetry: P4/mmm (123)
- Density of states at the Fermi level: 1.78 states/eV per cell
- Magnetization: 0.00 μB/f.u.


Record 2
# Ba2MgIn2Sb4

An optimized crystal structure of Ba2MgIn2Sb4 (PBE, Alexandria via LeMat-Bulk).

```
data_Ba2MgIn2Sb4
_chemical_formula_sum 'Ba2 Mg1 In2 Sb4'
_space_group_name_H-M_alt 'P 1'
_space_group_IT_number 1
_cell_length_a 4.6954
_cell_length_b 9.0216
_cell_length_c 7.8265
_cell_angle_alpha 109.09
_cell_angle_beta 90.00
_cell_angle_gamma 105.08
loop_
_space_group_symop_operation_xyz
'x,y,z'
loop_
_atom_site_label
_atom_site_type_symbol
_atom_site_fract_x
_atom_site_fract_y
_atom_site_fract_z
Mg1 Mg 0.0000 0.0000 0.0000
Sb1 Sb 0.5015 0.0030 0.2512
Ba1 Ba 0.8742 0.7483 0.4262
Sb2 Sb 0.7919 0.5839 0.7871
Ba2 Ba 0.1258 0.2517 0.5738
Sb3 Sb 0.2081 0.4161 0.2129
In1 In 0.6657 0.3314 0.9823
In2 In 0.3343 0.6686 0.0177
Sb4 Sb 0.4985 0.9970 0.7488
```

Summary:
- Electronic total energy: -32.31 eV per cell
- V: 33.47 Å³/atom
- Energy relative to the elements, uncorrected: -12.56 kcal/mol of atoms
- Symmetry: C2/m (12)
- Density of states at the Fermi level: 1.48 states/eV per cell
- Magnetization: 0.00 μB/f.u.


Record 3
# Ba2MgInSe5

An optimized crystal structure of Ba2MgInSe5 (PBE, Alexandria via LeMat-Bulk).

```
data_Ba2MgInSe5
_chemical_formula_sum 'Ba4 Mg2 In2 Se10'
_space_group_name_H-M_alt 'P 1'
_space_group_IT_number 1
_cell_length_a 4.3120
_cell_length_b 9.9248
_cell_length_c 12.9576
_cell_angle_alpha 90.00
_cell_angle_beta 90.00
_cell_angle_gamma 102.55
loop_
_space_group_symop_operation_xyz
'x,y,z'
loop_
_atom_site_label
_atom_site_type_symbol
_atom_site_fract_x
_atom_site_fract_y
_atom_site_fract_z
Ba1 Ba 0.1184 0.2368 0.6820
Se1 Se 0.6946 0.3891 0.8855
Se2 Se 0.6424 0.2847 0.4981
Se3 Se 0.2890 0.5781 0.6528
In1 In 0.5621 0.1241 0.9465
Mg1 Mg 0.7758 0.5516 0.5209
Se4 Se 0.0486 0.0973 0.0614
Mg2 Mg 0.2242 0.4484 0.0209
Se5 Se 0.9514 0.9027 0.5614
In2 In 0.4379 0.8759 0.4465
Se6 Se 0.5016 0.0032 0.7703
Ba2 Ba 0.8816 0.7632 0.1820
Se7 Se 0.7110 0.4219 0.1528
Se8 Se 0.4984 0.9968 0.2703
Se9 Se 0.3054 0.6109 0.3855
Ba3 Ba 0.8722 0.7444 0.8065
Se10 Se 0.3576 0.7153 0.9981
Ba4 Ba 0.1278 0.2556 0.3065
```

Summary:
- Electronic total energy: -74.02 eV per cell
- V: 30.07 Å³/atom
- Energy relative to the elements, uncorrected: -29.24 kcal/mol of atoms
- Symmetry: Cmc2_1 (36)
- Density of states at the Fermi level: 14.97 states/eV per cell
- Magnetization: 0.04 μB/f.u.


Record 4
# BaSmMg2In4

An optimized crystal structure of BaSmMg2In4 (PBE, Alexandria via LeMat-Bulk).

```
data_BaSmMg2In4
_chemical_formula_sum 'Ba1 Sm1 Mg2 In4'
_space_group_name_H-M_alt 'P 1'
_space_group_IT_number 1
_cell_length_a 4.9112
_cell_length_b 4.9112
_cell_length_c 11.7806
_cell_angle_alpha 77.97
_cell_angle_beta 77.97
_cell_angle_gamma 60.00
loop_
_space_group_symop_operation_xyz
'x,y,z'
loop_
_atom_site_label
_atom_site_type_symbol
_atom_site_fract_x
_atom_site_fract_y
_atom_site_fract_z
In1 In 0.6006 0.6006 0.1981
In2 In 0.1199 0.1199 0.6402
Mg1 Mg 0.7653 0.7653 0.7041
In3 In 0.3994 0.3994 0.8019
Ba1 Ba 0.0000 0.0000 0.0000
Mg2 Mg 0.2347 0.2347 0.2959
Sm1 Sm 0.5000 0.5000 0.5000
In4 In 0.8801 0.8801 0.3598
```

Summary:
- Energy of formation: -0.32 eV per atom
- Electronic total energy: -23.38 eV per cell
- V: 29.86 Å³/atom
- Symmetry: R-3m (166)
- Density of states at the Fermi level: 4.11 states/eV per cell
- Magnetization: 0.00 μB/f.u.


Question: V of number 3 (Ba2MgInSe5)?
Answer: 30.07 Å³/atom


Question: Among the records above, which one has the lowest V?
Answer: BaMg2InRu


Question: Number 1 is which compound?
Answer: BaMg2InRu


Question: Look up the V of the third one.
Answer: 30.07 Å³/atom